[1]
Density functional theory data (GGA-PBE) for Cs2RbBi after structural relaxation.

Formation energy from the elements in eV/atom: -0.08
Density in g cm⁻³: 3.95
Volume in Å³ per cell: 941.4

a = 5.9414 Å, b = 5.9414 Å, c = 26.6671 Å
α = 90.00°, β = 90.00°, γ = 90.00°
Fractional coordinates of all 16 atoms:
Cs: 0.2338 0.2500 0.1250
Cs: 0.2500 0.7338 0.3750
Cs: 0.2500 0.7662 0.8750
Cs: 0.2662 0.2500 0.6250
Cs: 0.7338 0.7500 0.6250
Cs: 0.7500 0.2338 0.8750
Cs: 0.7500 0.2662 0.3750
Cs: 0.7662 0.7500 0.1250
Rb: 0.0000 0.0000 0.5000
Rb: 0.0000 0.5000 0.7500
Rb: 0.5000 0.0000 0.2500
Rb: 0.5000 0.5000 0.0000
Bi: 0.0000 0.0000 0.0000
Bi: 0.0000 0.5000 0.2500
Bi: 0.5000 0.0000 0.7500
Bi: 0.5000 0.5000 0.5000

=====

[2]
Density functional theory data (GGA-PBE) for CsRb3Bi after structural relaxation.

Formation energy from the elements in eV/atom: 0.53
Density in g cm⁻³: 2.60
Volume in Å³ per cell: 382.4
Energy above the most stable polymorph in this dataset in kJ/mol of formula units: 359

a = 7.2585 Å, b = 7.2585 Å, c = 7.2585 Å
α = 90.00°, β = 90.00°, γ = 90.00°
Fractional coordinates of all 5 atoms:
Cs: 0.0000 0.0000 0.0000
Rb: 0.0000 0.0000 0.5000
Rb: 0.0000 0.5000 0.0000
Rb: 0.5000 0.0000 0.0000
Bi: 0.5000 0.5000 0.5000

=====

[3]
Density functional theory data (GGA-PBE) for Cs2RbBi after structural relaxation.

Formation energy from the elements in eV/atom: -0.14
Density in g cm⁻³: 3.33
Volume in Å³ per cell: 279.1

a = 4.5075 Å, b = 4.5075 Å, c = 13.7371 Å
α = 90.00°, β = 90.00°, γ = 90.00°
Fractional coordinates of all 4 atoms:
Cs: 0.0000 0.0000 0.1703
Cs: 0.0000 0.0000 0.8297
Rb: 0.5000 0.5000 0.5000
Bi: 0.5000 0.5000 0.0000

=====

[4]
Density functional theory data (GGA-PBE) for CsRbBi2 after structural relaxation.

Formation energy from the elements in eV/atom: -0.21
Density in g cm⁻³: 6.62
Volume in Å³ per cell: 159.5
Energy above the most stable polymorph in this dataset in kJ/mol of formula units: 53

a = 5.1359 Å, b = 5.1359 Å, c = 6.0486 Å
α = 90.00°, β = 90.00°, γ = 90.00°
Fractional coordinates of all 4 atoms:
Cs: 0.0000 0.0000 0.0000
Rb: 0.5000 0.5000 0.0000
Bi: 0.0000 0.5000 0.5000
Bi: 0.5000 0.0000 0.5000

=====

Question: Which of these has the highest density?
Answer: CsRbBi2